Version one
VASP calculation (PBE) on a relaxed NaPr2Gd crystal.

Unit cell a=3.580 b=3.580 c=11.004 alpha=90.00 beta=90.00 gamma=90.00
Fractional coordinates of all 4 atoms:
1 Pr 0.000 0.000 0.766
2 Pr 0.000 0.000 0.234
3 Na 0.500 0.500 0.500
4 Gd 0.500 0.500 0.000

total magnetization = 7.26 μB/cell
DOS at the Fermi energy = 4.3 states/eV per cell

***

Version two
VASP calculation (PBE) on a relaxed NaPr2Gd crystal.

Unit cell a=3.594 b=3.594 c=13.147 alpha=82.14 beta=82.14 gamma=60.00
Fractional coordinates of all 4 atoms:
1 Pr 0.092 0.092 0.725
2 Pr 0.908 0.908 0.275
3 Na 0.000 0.000 0.000
4 Gd 0.500 0.500 0.500

total magnetization = 7.09 μB/cell
DOS at the Fermi energy = 5.5 states/eV per cell

***

Version three
VASP calculation (PBE) on a relaxed NaPr2Gd crystal.

Unit cell a=3.775 b=6.029 c=6.029 alpha=90.00 beta=90.00 gamma=90.00
Fractional coordinates of all 4 atoms:
1 Pr 0.000 0.000 0.500
2 Pr 0.000 0.500 0.000
3 Na 0.500 0.000 0.000
4 Gd 0.500 0.500 0.500

total magnetization = 7.33 μB/cell
DOS at the Fermi energy = 5.2 states/eV per cell

***

Going by the energies, version one is most stable and the next is 0.033 eV/atom up.

***

Version one
VASP calculation (PBE) on a relaxed NaSm2Gd crystal.

Unit cell a=3.544 b=3.544 c=12.995 alpha=82.16 beta=82.16 gamma=60.00
Fractional coordinates of all 4 atoms:
1 Na 0.000 0.000 0.000
2 Gd 0.500 0.500 0.500
3 Sm 0.092 0.092 0.725
4 Sm 0.908 0.908 0.275

total magnetization = 7.13 μB/cell
DOS at the Fermi energy = 5.5 states/eV per cell

***

Version two
VASP calculation (PBE) on a relaxed NaSm2Gd crystal.

Unit cell a=3.538 b=3.538 c=10.841 alpha=90.00 beta=90.00 gamma=90.00
Fractional coordinates of all 4 atoms:
1 Na 0.500 0.500 0.500
2 Gd 0.500 0.500 0.000
3 Sm 0.000 0.000 0.766
4 Sm 0.000 0.000 0.234

total magnetization = 7.17 μB/cell
DOS at the Fermi energy = 4.5 states/eV per cell

***

Going by the energies, version two is most stable and the next is 0.031 eV/atom up.

***

Version one
VASP calculation (PBE) on a relaxed NaSmGd2 crystal.

Unit cell a=5.138 b=5.075 c=5.075 alpha=90.00 beta=90.00 gamma=90.00
Fractional coordinates of all 4 atoms:
1 Na 0.500 0.500 0.500
2 Gd 0.000 0.000 0.500
3 Gd 0.000 0.500 0.000
4 Sm 0.500 0.000 0.000

total magnetization = 16.13 μB/cell
DOS at the Fermi energy = 8.0 states/eV per cell

***

Version two
VASP calculation (PBE) on a relaxed NaSmGd2 crystal.

Unit cell a=3.548 b=3.548 c=10.729 alpha=90.00 beta=90.00 gamma=90.00
Fractional coordinates of all 4 atoms:
1 Na 0.500 0.500 0.500
2 Gd 0.000 0.000 0.768
3 Gd 0.000 0.000 0.232
4 Sm 0.500 0.500 0.000

total magnetization = 14.90 μB/cell
DOS at the Fermi energy = 6.1 states/eV per cell

***

Going by the energies, version two is most stable and the next is 0.146 eV/atom up.

***

Version one
VASP calculation (PBE) on a relaxed NaSmGd crystal.

Unit cell a=3.549 b=3.549 c=8.532 alpha=102.00 beta=102.00 gamma=90.00
Fractional coordinates of all 3 atoms:
1 Na 0.000 0.000 0.000
2 Gd 0.325 0.325 0.650
3 Sm 0.675 0.675 0.350

total magnetization = 7.52 μB/cell
DOS at the Fermi energy = 3.3 states/eV per cell

***

Version two
VASP calculation (PBE) on a relaxed NaSmGd crystal.

Unit cell a=3.584 b=3.584 c=9.241 alpha=90.00 beta=90.00 gamma=120.00
Fractional coordinates of all 3 atoms:
1 Na 0.000 0.000 0.000
2 Gd 0.667 0.333 0.348
3 Sm 0.333 0.667 0.651

total magnetization = 7.57 μB/cell
DOS at the Fermi energy = 3.8 states/eV per cell

***

Going by the energies, version two is most stable and the next is 0.016 eV/atom up.

***

Version one
VASP calculation (PBE) on a relaxed NaTbGd2 crystal.

Unit cell a=3.526 b=3.526 c=12.841 alpha=82.11 beta=82.11 gamma=60.00
Fractional coordinates of all 4 atoms:
1 Na 0.000 0.000 0.000
2 Gd 0.092 0.092 0.724
3 Gd 0.908 0.908 0.276
4 Tb 0.500 0.500 0.500

total magnetization = 15.03 μB/cell
DOS at the Fermi energy = 5.0 states/eV per cell

***

Version two
VASP calculation (PBE) on a relaxed NaTbGd2 crystal.

Unit cell a=3.518 b=3.518 c=10.743 alpha=90.00 beta=90.00 gamma=90.00
Fractional coordinates of all 4 atoms:
1 Na 0.500 0.500 0.500
2 Gd 0.000 0.000 0.769
3 Gd 0.000 0.000 0.231
4 Tb 0.500 0.500 0.000

total magnetization = 14.88 μB/cell
DOS at the Fermi energy = 5.6 states/eV per cell

***

Going by the energies, version two is most stable and the next is 0.035 eV/atom up.

***

Version one
VASP calculation (PBE) on a relaxed NaGd2Tc crystal.

Unit cell a=3.464 b=3.464 c=9.305 alpha=90.00 beta=90.00 gamma=90.00
Fractional coordinates of all 4 atoms:
1 Na 0.500 0.500 0.500
2 Gd 0.000 0.000 0.822
3 Gd 0.000 0.000 0.178
4 Tc 0.500 0.500 0.000

total magnetization = 14.32 μB/cell
DOS at the Fermi energy = 3.4 states/eV per cell

***

Version two
VASP calculation (PBE) on a relaxed NaGd2Tc crystal.

Unit cell a=3.496 b=3.496 c=11.282 alpha=81.09 beta=81.09 gamma=60.00
Fractional coordinates of all 4 atoms:
1 Na 0.000 0.000 0.000
2 Gd 0.107 0.107 0.680
3 Gd 0.893 0.893 0.320
4 Tc 0.500 0.500 0.500

total magnetization = 14.70 μB/cell
DOS at the Fermi energy = 4.6 states/eV per cell

***

Going by the energies, version one is most stable and the next is 0.241 eV/atom up.

***

Version one
VASP calculation (PBE) on a relaxed NaGd2Tl crystal.

Unit cell a=3.785 b=3.785 c=8.544 alpha=90.00 beta=90.00 gamma=90.00
Fractional coordinates of all 4 atoms:
1 Na 0.500 0.500 0.000
2 Tl 0.500 0.500 0.500
3 Gd 0.000 0.000 0.723
4 Gd 0.000 0.000 0.277

total magnetization = 15.17 μB/cell
DOS at the Fermi energy = 6.7 states/eV per cell

***

Version two
VASP calculation (PBE) on a relaxed NaGd2Tl crystal.

Unit cell a=4.502 b=5.040 c=5.040 alpha=90.00 beta=90.00 gamma=90.00
Fractional coordinates of all 4 atoms:
1 Na 0.500 0.000 0.000
2 Tl 0.500 0.500 0.500
3 Gd 0.000 0.000 0.500
4 Gd 0.000 0.500 0.000

total magnetization = 15.10 μB/cell
DOS at the Fermi energy = 4.6 states/eV per cell

***

Version three
VASP calculation (PBE) on a relaxed NaGd2Tl crystal.

Unit cell a=3.535 b=3.535 c=12.394 alpha=81.80 beta=81.80 gamma=60.00
Fractional coordinates of all 4 atoms:
1 Na 0.000 0.000 0.000
2 Tl 0.500 0.500 0.500
3 Gd 0.096 0.096 0.713
4 Gd 0.904 0.904 0.287

total magnetization = 15.31 μB/cell
DOS at the Fermi energy = 6.6 states/eV per cell

***

Going by the energies, version two is most stable and the next is 0.032 eV/atom up.

***

Version one
VASP calculation (PBE) on a relaxed NaGdTl crystal.

Unit cell a=3.590 b=3.590 c=7.534 alpha=103.79 beta=103.79 gamma=90.00
Fractional coordinates of all 3 atoms:
1 Na 0.599 0.599 0.198
2 Tl 0.948 0.948 0.896
3 Gd 0.303 0.303 0.606

total magnetization = 7.99 μB/cell
DOS at the Fermi energy = 3.5 states/eV per cell

***

Version two
VASP calculation (PBE) on a relaxed NaGdTl crystal.

Unit cell a=3.425 b=5.325 c=5.325 alpha=120.00 beta=90.00 gamma=90.00
Fractional coordinates of all 3 atoms:
1 Na 0.840 0.000 0.000
2 Tl 0.827 0.667 0.333
3 Gd 0.333 0.333 0.667

total magnetization = 7.48 μB/cell
DOS at the Fermi energy = 3.1 states/eV per cell

***

Going by the energies, version two is most stable and the next is 0.030 eV/atom up.